MgTi2SnN: optimized geometry, PBE.

Lattice parameters (Å, degrees): 4.2113 4.2113 4.3342 90.00 90.00 90.00
Fractional coordinates of all 5 atoms:
Mg (0.0000, 0.0000, 0.0000)
Ti (0.0000, 0.5000, 0.5000)
Ti (0.5000, 0.0000, 0.5000)
Sn (0.5000, 0.5000, 0.0000)
N (0.0000, 0.0000, 0.5000)

The formation energy from raw total energies comes out at -0.70 eV per atom. The calculation puts the density of states at the Fermi level at 1.078 states/eV per atom.